(1)
# KBaGe (PBE, relaxed)
data_KBaGe
_space_group_name_H-M_alt 'P 1 21/m 1'
_space_group_IT_number 11
_space_group_name_Hall '-P 2yb'
_cell_length_a 4.7348
_cell_length_b 4.3034
_cell_length_c 14.7689
_cell_angle_alpha 90.00
_cell_angle_beta 90.15
_cell_angle_gamma 90.00
loop_
_atom_site_label
_atom_site_fract_x
_atom_site_fract_y
_atom_site_fract_z
K1 0.0025 0.2500 0.3625
Ba1 0.4990 0.2500 0.8749
Ge1 0.0005 0.2500 0.0519
# Crystal system = monoclinic
# ΔE_f = -341 meV/atom

(2)
# LiCo2Ir (PBE, relaxed)
data_LiCo2Ir
_space_group_name_H-M_alt 'P 1 2/m 1'
_space_group_IT_number 10
_space_group_name_Hall '-P 2y'
_cell_length_a 2.5554
_cell_length_b 3.9261
_cell_length_c 4.9083
_cell_angle_alpha 90.00
_cell_angle_beta 100.75
_cell_angle_gamma 90.00
loop_
_atom_site_label
_atom_site_fract_x
_atom_site_fract_y
_atom_site_fract_z
Li1 0.0000 0.0000 0.0000
Co1 0.4522 0.5000 0.2461
Ir1 0.0000 0.0000 0.5000
# Crystal system = monoclinic
# ΔE_f = 90 meV/atom

(3)
# Ba2InGe3Au12 (PBE, relaxed)
data_Ba2InGe3Au12
_space_group_name_H-M_alt 'R -3 m'
_space_group_IT_number 166
_space_group_name_Hall '-R 3 2"'
_cell_length_a 9.0126
_cell_length_b 9.0126
_cell_length_c 21.1430
_cell_angle_alpha 90.00
_cell_angle_beta 90.00
_cell_angle_gamma 120.00
loop_
_atom_site_label
_atom_site_fract_x
_atom_site_fract_y
_atom_site_fract_z
Ba1 0.0000 0.0000 0.1097
In1 0.0000 0.0000 0.5000
Ge1 0.0000 0.5000 0.0000
Au1 0.0069 0.5034 0.1289
Au2 0.0997 0.5498 0.3893
# Crystal system = trigonal
# ΔE_f = -87 meV/atom

(4)
# BeReAs2 (PBE, relaxed)
data_BeReAs2
_space_group_name_H-M_alt 'R -3 m'
_space_group_IT_number 166
_space_group_name_Hall '-R 3 2"'
_cell_length_a 3.1799
_cell_length_b 3.1799
_cell_length_c 20.4668
_cell_angle_alpha 90.00
_cell_angle_beta 90.00
_cell_angle_gamma 120.00
loop_
_atom_site_label
_atom_site_fract_x
_atom_site_fract_y
_atom_site_fract_z
Be1 0.0000 0.0000 0.0000
Re1 0.0000 0.0000 0.5000
As1 0.0000 0.0000 0.2551
# Crystal system = trigonal
# ΔE_f = 289 meV/atom

(5)
# Eu2O3 (PBE, relaxed)
data_Eu2O3
_space_group_name_H-M_alt 'I a -3'
_space_group_IT_number 206
_space_group_name_Hall '-I 2b 2c 3'
_cell_length_a 10.9803
_cell_length_b 10.9803
_cell_length_c 10.9803
_cell_angle_alpha 90.00
_cell_angle_beta 90.00
_cell_angle_gamma 90.00
loop_
_atom_site_label
_atom_site_fract_x
_atom_site_fract_y
_atom_site_fract_z
Eu1 0.0000 0.2500 0.4686
Eu2 0.2500 0.2500 0.2500
O1 0.1120 0.1515 0.6185
# Crystal system = cubic
# Formation energy without anion corrections = -2753.0 meV/atom

(6)
# KBa2Y (PBE, relaxed)
data_KBa2Y
_space_group_name_H-M_alt 'I m m 2'
_space_group_IT_number 44
_space_group_name_Hall 'I 2 -2'
_cell_length_a 4.3248
_cell_length_b 6.8888
_cell_length_c 14.0884
_cell_angle_alpha 90.00
_cell_angle_beta 90.00
_cell_angle_gamma 90.00
loop_
_atom_site_label
_atom_site_fract_x
_atom_site_fract_y
_atom_site_fract_z
K1 0.0000 0.0000 0.0000
Ba1 0.0000 0.0000 0.4676
Ba2 0.0000 0.5000 0.2377
Y1 0.0000 0.5000 0.7377
# Crystal system = orthorhombic
# ΔE_f = 326 meV/atom

(7)
# In4SeI (PBE, relaxed)
data_In4SeI
_space_group_name_H-M_alt 'C 1 2/c 1'
_space_group_IT_number 15
_space_group_name_Hall '-C 2yc'
_cell_length_a 8.8079
_cell_length_b 15.1813
_cell_length_c 6.3093
_cell_angle_alpha 90.00
_cell_angle_beta 106.82
_cell_angle_gamma 90.00
loop_
_atom_site_label
_atom_site_fract_x
_atom_site_fract_y
_atom_site_fract_z
In1 0.1646 0.0193 0.1860
In2 0.2019 0.1995 0.7383
Se1 0.0000 0.1861 0.2500
I1 0.0000 0.3894 0.7500
# Crystal system = monoclinic
# Formation energy without anion corrections = -185.7 meV/atom

(8)
# AgGeAu3 (PBE, relaxed)
data_AgGeAu3
_space_group_name_H-M_alt 'P -1'
_space_group_IT_number 2
_space_group_name_Hall '-P 1'
_cell_length_a 5.1914
_cell_length_b 5.2414
_cell_length_c 7.5068
_cell_angle_alpha 75.38
_cell_angle_beta 79.14
_cell_angle_gamma 67.90
loop_
_atom_site_label
_atom_site_fract_x
_atom_site_fract_y
_atom_site_fract_z
Ag1 0.1910 0.4012 0.3195
Ge1 0.2816 0.1156 0.7352
Au1 0.2345 0.9635 0.1138
Au2 0.2657 0.5425 0.8988
Au3 0.2835 0.7856 0.5072
# Crystal system = triclinic
# ΔE_f = 26 meV/atom

(9)
# ZrNbBi (PBE, relaxed)
data_ZrNbBi
_space_group_name_H-M_alt 'C 1 m 1'
_space_group_IT_number 8
_space_group_name_Hall 'C -2y'
_cell_length_a 11.2135
_cell_length_b 3.7367
_cell_length_c 7.0664
_cell_angle_alpha 90.00
_cell_angle_beta 111.90
_cell_angle_gamma 90.00
loop_
_atom_site_label
_atom_site_fract_x
_atom_site_fract_y
_atom_site_fract_z
Zr1 0.0000 0.0000 0.0000
Zr2 0.1803 0.5000 0.3309
Nb1 0.1535 0.5000 0.8478
Nb2 0.3123 0.0000 0.1229
Bi1 0.3208 0.0000 0.6945
Bi2 0.4925 0.5000 0.4479
# Crystal system = monoclinic
# ΔE_f = -64 meV/atom

(10)
# MgHgPd2 (PBE, relaxed)
data_MgHgPd2
_space_group_name_H-M_alt 'F -4 3 m'
_space_group_IT_number 216
_space_group_name_Hall 'F -4 2 3'
_cell_length_a 6.5118
_cell_length_b 6.5118
_cell_length_c 6.5118
_cell_angle_alpha 90.00
_cell_angle_beta 90.00
_cell_angle_gamma 90.00
loop_
_atom_site_label
_atom_site_fract_x
_atom_site_fract_y
_atom_site_fract_z
Mg1 0.0000 0.0000 0.0000
Hg1 0.2500 0.2500 0.7500
Pd1 0.0000 0.0000 0.5000
Pd2 0.2500 0.2500 0.2500
# Crystal system = cubic
# ΔE_f = -366 meV/atom

(11)
# Hg2SbRh (PBE, relaxed)
data_Hg2SbRh
_space_group_name_H-M_alt 'R 3 m'
_space_group_IT_number 160
_space_group_name_Hall 'R 3 -2"'
_cell_length_a 3.4390
_cell_length_b 3.4390
_cell_length_c 27.7306
_cell_angle_alpha 90.00
_cell_angle_beta 90.00
_cell_angle_gamma 120.00
loop_
_atom_site_label
_atom_site_fract_x
_atom_site_fract_y
_atom_site_fract_z
Hg1 0.0000 0.0000 0.0000
Hg2 0.0000 0.0000 0.2373
Sb1 0.0000 0.0000 0.7690
Rh1 0.0000 0.0000 0.4956
# Crystal system = trigonal
# Formation energy without anion corrections = -74.6 meV/atom

(12)
# Sc3PaS6 (PBE, relaxed)
data_Sc3PaS6
_space_group_name_H-M_alt 'P 1 21/m 1'
_space_group_IT_number 11
_space_group_name_Hall '-P 2yb'
_cell_length_a 10.6221
_cell_length_b 3.7409
_cell_length_c 10.7994
_cell_angle_alpha 90.00
_cell_angle_beta 108.87
_cell_angle_gamma 90.00
loop_
_atom_site_label
_atom_site_fract_x
_atom_site_fract_y
_atom_site_fract_z
Sc1 0.0606 0.2500 0.1620
Sc2 0.1762 0.7500 0.4994
Sc3 0.3419 0.2500 0.9157
Pa1 0.4491 0.2500 0.2999
S1 0.0213 0.2500 0.3843
S2 0.1089 0.2500 0.9402
S3 0.2344 0.7500 0.2695
S4 0.3024 0.7500 0.7476
S5 0.3803 0.2500 0.5345
S6 0.4176 0.7500 0.0922
# Crystal system = monoclinic
# Formation energy without anion corrections = -1832.6 meV/atom